First-principles (GGA-PBE) data for crystalline Ho2ZnGa at its relaxed geometry, as listed in the Alexandria database.

Cell: 3.4597 3.4597 31.2820 Å, 90.00 90.00 120.00°
Space group R-3m (No. 166, hexagonal axes)
Unique sites:
1 Ho 0.0000 0.0000 0.0971 [6 per cell]
2 Zn 0.0000 0.0000 0.0000 [3 per cell]
3 Ga 0.0000 0.0000 0.5000 [3 per cell]

**Crystal system**: trigonal
**Energy relative to the elements**: 0.050 eV per atom
**Size of the total moment**: 0.0 Bohr magnetons per cell
**E_tot**: -3.314 eV per atom